Entry 1:
DFT (PBE) results for HfTaSi2Se after structural relaxation.

Calculated values
- E (hartree per atom) = -0.2377
- energy relative to the elements, uncorrected (meV per atom) = 759

abc: 4.796 5.280 4.796
angles: 90.00 90.00 90.00
Sites, in units of the cell vectors:
Hf  0.000  0.500  0.000
Ta  0.000  0.000  0.000
Se  0.500  0.500  0.500
Si  0.000  0.000  0.500
Si  0.500  0.000  0.000

***

Entry 2:
DFT (PBE) results for MgP3Ru5 after structural relaxation.

Calculated values
- E (hartree per atom) = -0.2697
- formation enthalpy at 0 K (eV/atom) = -0.20

abc: 3.645 5.002 15.429
angles: 90.00 90.00 111.37
Sites, in units of the cell vectors:
Ru  0.000  0.000  0.000
Ru  0.743  0.485  0.106
Mg  0.178  0.355  0.250
Ru  0.000  0.000  0.500
Ru  0.743  0.485  0.394
P  0.655  0.310  0.535
Ru  0.529  0.058  0.838
P  0.903  0.805  0.250
P  0.097  0.195  0.750
Ru  0.257  0.515  0.894
P  0.655  0.310  0.965
Ru  0.471  0.942  0.338
Ru  0.529  0.058  0.662
P  0.345  0.690  0.035
Ru  0.257  0.515  0.606
P  0.345  0.690  0.465
Mg  0.822  0.645  0.750
Ru  0.471  0.942  0.162

***

Entry 3:
DFT (PBE) results for LiDyScTc after structural relaxation.

Calculated values
- E (hartree per atom) = -0.2155
- formation enthalpy at 0 K (eV/atom) = -0.06

abc: 4.793 4.793 4.793
angles: 60.00 60.00 60.00
Sites, in units of the cell vectors:
Tc  0.500  0.500  0.500
Dy  0.750  0.750  0.750
Sc  0.250  0.250  0.250
Li  0.000  0.000  0.000

***

Entry 4:
DFT (PBE) results for Ca2IrPt after structural relaxation.

Calculated values
- E (hartree per atom) = -0.1848
- formation enthalpy at 0 K (eV/atom) = -0.30

abc: 5.504 5.504 5.504
angles: 135.29 135.29 65.09
Sites, in units of the cell vectors:
Ca  0.000  0.000  0.000
Pt  0.750  0.250  0.500
Ca  0.250  0.750  0.500
Ir  0.500  0.500  0.000

***

Entry 5:
DFT (PBE) results for BaAcTlRh after structural relaxation.

Calculated values
- E (hartree per atom) = -0.1514
- formation enthalpy at 0 K (eV/atom) = -0.18

abc: 5.614 5.614 5.614
angles: 60.00 60.00 60.00
Sites, in units of the cell vectors:
Rh  0.500  0.500  0.500
Tl  0.000  0.000  0.000
Ba  0.750  0.750  0.750
Ac  0.250  0.250  0.250